No. 1
The following is a GGA-PBE calculation of a relaxed PmTiTlHg crystal, from Alexandria via LeMat-Bulk.

Results
total moment	2.081	μB/f.u.
E_form	-0.4	eV/f.u.
crystal system	cubic

a = 5.175 Å, b = 5.175 Å, c = 5.175 Å
α = 60.00°, β = 60.00°, γ = 60.00°
Site moments in Bohr magnetons follow the coordinates.
Positions (direct):
Hg 0.250 0.250 0.250  0.02
Tl 0.750 0.750 0.750  -0.02
Ti 0.500 0.500 0.500  1.45
Pm 0.000 0.000 0.000  0.12



No. 2
The following is a GGA-PBE calculation of a relaxed Zr2TlAu crystal, from Alexandria via LeMat-Bulk.

Results
total moment	0.000	μB/f.u.
E_form	-0.8	eV/f.u.
crystal system	orthorhombic

a = 6.004 Å, b = 6.004 Å, c = 6.004 Å
α = 148.01°, β = 129.64°, γ = 60.92°
Positions (direct):
Tl 0.266 0.766 0.500
Zr 0.991 0.991 0.000
Au 0.506 0.506 0.000
Zr 0.737 0.237 0.500



No. 3
The following is a GGA-PBE calculation of a relaxed La2Pr4Y2Mg crystal, from Alexandria via LeMat-Bulk.

Results
total moment	0.000	μB/f.u.
E_form	1.3	eV/f.u.
crystal system	triclinic

a = 6.570 Å, b = 9.494 Å, c = 6.562 Å
α = 125.55°, β = 108.65°, γ = 84.29°
Positions (direct):
Pr 0.267 0.281 0.589
Y 0.726 0.068 0.367
La 0.689 0.280 0.025
Pr 0.217 0.429 0.207
Pr 0.733 0.719 0.411
Y 0.274 0.932 0.633
La 0.311 0.720 0.975
Mg 0.000 0.000 0.000
Pr 0.783 0.571 0.793